Entry 1:
# Er3CuOs PBE relaxed
data_Er3CuOs
_chemical_formula_sum 'Er6 Cu2 Os2'
_cell_length_a 3.5726
_cell_length_b 7.8521
_cell_length_c 9.2905
_cell_angle_alpha 63.15
_cell_angle_beta 90.07
_cell_angle_gamma 90.09
_space_group_name_H-M_alt 'P 1'
_space_group_IT_number 1
loop_
_space_group_symop_operation_xyz
'x,y,z'
loop_
_atom_site_label
_atom_site_fract_x
_atom_site_fract_y
_atom_site_fract_z
Er1 0.8620 0.3663 0.7577
Er2 0.8635 0.9783 0.6575
Er3 0.8636 0.5972 0.0152
Er4 0.3607 0.1666 0.1087
Er5 0.8643 0.7846 0.4275
Er6 0.3620 0.3991 0.4061
Cu1 0.3669 0.7799 0.1691
Cu2 0.3654 0.9999 0.8822
Os1 0.3630 0.6600 0.7316
Os2 0.8610 0.2096 0.3089
# E_tot in eV/cell: -59.38
# Energy relative to the elements in eV per atom: -0.13
# DOS(E_F) in states/eV/atom: 0.71
# Energy relative to the lowest polymorph listed for this composition in meV per atom: 105

***

Entry 2:
# TlSbPb2 PBE relaxed
data_TlSbPb2
_chemical_formula_sum 'Tl1 Sb1 Pb2'
_cell_length_a 5.5822
_cell_length_b 5.5822
_cell_length_c 5.5822
_cell_angle_alpha 60.00
_cell_angle_beta 60.00
_cell_angle_gamma 60.00
_space_group_name_H-M_alt 'P 1'
_space_group_IT_number 1
loop_
_space_group_symop_operation_xyz
'x,y,z'
loop_
_atom_site_label
_atom_site_fract_x
_atom_site_fract_y
_atom_site_fract_z
Pb1 0.2500 0.2500 0.2500
Pb2 0.7500 0.7500 0.7500
Sb1 0.0000 0.0000 0.0000
Tl1 0.5000 0.5000 0.5000
# E_tot in eV/cell: -13.68
# Formation energy from raw total energies in eV per atom: 0.056
# DOS(E_F) in states/eV/atom: 0.56
# Energy relative to the lowest polymorph listed for this composition in meV per atom: 43

***

Entry 3:
# Y2MgAl2Rh5 PBE relaxed
data_Y2MgAl2Rh5
_chemical_formula_sum 'Y4 Mg2 Al4 Rh10'
_cell_length_a 3.4351
_cell_length_b 9.9890
_cell_length_c 9.9890
_cell_angle_alpha 90.00
_cell_angle_beta 90.00
_cell_angle_gamma 90.00
_space_group_name_H-M_alt 'P 1'
_space_group_IT_number 1
loop_
_space_group_symop_operation_xyz
'x,y,z'
loop_
_atom_site_label
_atom_site_fract_x
_atom_site_fract_y
_atom_site_fract_z
Y1 0.0000 0.6744 0.1744
Y2 0.0000 0.3256 0.8256
Y3 0.0000 0.1744 0.3256
Y4 0.0000 0.8256 0.6744
Mg1 0.0000 0.0000 0.0000
Mg2 0.0000 0.5000 0.5000
Al1 0.0000 0.1252 0.6252
Al2 0.0000 0.8748 0.3748
Al3 0.0000 0.6252 0.8748
Al4 0.0000 0.3748 0.1252
Rh1 0.5000 0.2078 0.0670
Rh2 0.5000 0.7922 0.9330
Rh3 0.5000 0.0670 0.7922
Rh4 0.5000 0.7078 0.4330
Rh5 0.5000 0.9330 0.2078
Rh6 0.5000 0.2922 0.5670
Rh7 0.5000 0.5670 0.7078
Rh8 0.5000 0.4330 0.2922
Rh9 0.5000 0.5000 0.0000
Rh10 0.5000 0.0000 0.5000
# E_tot in eV/cell: -133.67
# Energy relative to the elements in eV per atom: -0.81
# DOS(E_F) in states/eV/atom: 0.49

***

Entry 4:
# RePt4Cl PBE relaxed
data_RePt4Cl
_chemical_formula_sum 'Re1 Pt4 Cl1'
_cell_length_a 5.2934
_cell_length_b 5.2934
_cell_length_c 5.2934
_cell_angle_alpha 60.00
_cell_angle_beta 60.00
_cell_angle_gamma 60.00
_space_group_name_H-M_alt 'P 1'
_space_group_IT_number 1
loop_
_space_group_symop_operation_xyz
'x,y,z'
loop_
_atom_site_label
_atom_site_fract_x
_atom_site_fract_y
_atom_site_fract_z
Re1 0.7500 0.7500 0.7500
Pt1 0.8740 0.3753 0.3753
Pt2 0.3753 0.3753 0.8740
Pt3 0.3753 0.8740 0.3753
Pt4 0.3753 0.3753 0.3753
Cl1 0.0000 0.0000 0.0000
# E_tot in eV/cell: -33.75
# Formation energy from raw total energies in eV per atom: 0.785
# DOS(E_F) in states/eV/atom: 0.98

***

Entry 5:
# CsRb4 PBE relaxed
data_CsRb4
_chemical_formula_sum 'Cs1 Rb4'
_cell_length_a 8.4367
_cell_length_b 8.4367
_cell_length_c 8.4367
_cell_angle_alpha 90.00
_cell_angle_beta 90.00
_cell_angle_gamma 90.00
_space_group_name_H-M_alt 'P 1'
_space_group_IT_number 1
loop_
_space_group_symop_operation_xyz
'x,y,z'
loop_
_atom_site_label
_atom_site_fract_x
_atom_site_fract_y
_atom_site_fract_z
Cs1 0.5000 0.5000 0.5000
Rb1 0.0000 0.0000 0.0000
Rb2 0.5000 0.0000 0.5000
Rb3 0.0000 0.5000 0.5000
Rb4 0.5000 0.5000 0.0000
# E_tot in eV/cell: -3.60
# Energy relative to the elements in eV per atom: 0.23
# DOS(E_F) in states/eV/atom: 1.11
# Energy relative to the lowest polymorph listed for this composition in meV per atom: 216

***

Entry 6:
# BiPt PBE relaxed
data_BiPt
_chemical_formula_sum 'Bi16 Pt16'
_cell_length_a 8.3532
_cell_length_b 14.6674
_cell_length_c 6.7175
_cell_angle_alpha 90.00
_cell_angle_beta 90.00
_cell_angle_gamma 90.00
_space_group_name_H-M_alt 'P 1'
_space_group_IT_number 1
loop_
_space_group_symop_operation_xyz
'x,y,z'
loop_
_atom_site_label
_atom_site_fract_x
_atom_site_fract_y
_atom_site_fract_z
Bi1 0.2907 0.0000 0.0000
Bi2 0.7093 0.0000 0.0000
Bi3 0.9593 0.7500 0.2500
Bi4 0.5407 0.7500 0.2500
Bi5 0.2907 0.5000 0.5000
Bi6 0.7093 0.5000 0.5000
Bi7 0.9593 0.2500 0.7500
Bi8 0.5407 0.2500 0.7500
Bi9 0.7907 0.0000 0.5000
Bi10 0.2093 0.0000 0.5000
Bi11 0.4593 0.7500 0.7500
Bi12 0.0407 0.7500 0.7500
Bi13 0.7907 0.5000 0.0000
Bi14 0.2093 0.5000 0.0000
Bi15 0.4593 0.2500 0.2500
Bi16 0.0407 0.2500 0.2500
Pt1 0.0000 0.9040 0.0000
Pt2 0.0000 0.0960 0.0000
Pt3 0.2500 0.8460 0.2500
Pt4 0.2500 0.6540 0.2500
Pt5 0.0000 0.4040 0.5000
Pt6 0.0000 0.5960 0.5000
Pt7 0.2500 0.3460 0.7500
Pt8 0.2500 0.1540 0.7500
Pt9 0.5000 0.9040 0.5000
Pt10 0.5000 0.0960 0.5000
Pt11 0.7500 0.8460 0.7500
Pt12 0.7500 0.6540 0.7500
Pt13 0.5000 0.4040 0.0000
Pt14 0.5000 0.5960 0.0000
Pt15 0.7500 0.3460 0.2500
Pt16 0.7500 0.1540 0.2500
# E_tot in eV/cell: -158.93
# Energy relative to the elements in eV per atom: -0.01
# DOS(E_F) in states/eV/atom: 0.67